This record from the Alexandria database describes a relaxed structure of Dy4Y6Tm. The functional is GGA-PBE.

Unit cell a=8.5306 b=8.5306 c=8.5306 alpha=127.97 beta=127.97 gamma=76.67
Positions (direct):
Dy: 0.2554 0.2554 0.6681
Dy: 0.4127 0.7446 0.0000
Dy: 0.5873 0.5873 0.3319
Dy: 0.7446 0.4127 0.0000
Y: 0.0000 0.5000 0.5000
Y: 0.0453 0.5829 0.0000
Y: 0.4171 0.4171 0.4624
Y: 0.5000 0.0000 0.5000
Y: 0.5829 0.0453 0.0000
Y: 0.9547 0.9547 0.5376
Tm: 0.0000 0.0000 0.0000

Results
Fermi-level density of states: 1.1810 states/eV per atom
Energy relative to the lowest polymorph listed for this composition: 0.3053 eV per atom
Uncorrected energy: -56.91 eV per formula unit
Spin magnetization: 0.00 μB/f.u.
E_form: 0.432 eV per atom